[1]
The following is a PBE-GGA calculation of K2CaPbBr6 after structural relaxation, from Alexandria via LeMat-Bulk.

Structure (POSCAR):
```
K2CaPbBr6
1.0
7.792 0.000 -0.019
0.000 8.237 0.000
0.041 0.000 11.247
Ca K Br Pb
2 4 12 2
Direct
0.500 0.000 0.500 Ca
0.000 0.500 0.000 Ca
0.529 0.579 0.750 K
0.971 0.079 0.750 K
0.029 0.921 0.250 K
0.471 0.421 0.250 K
0.379 0.960 0.744 Br
0.185 0.203 0.063 Br
0.302 0.691 0.060 Br
0.879 0.540 0.244 Br
0.621 0.040 0.256 Br
0.315 0.703 0.437 Br
0.121 0.460 0.756 Br
0.698 0.309 0.940 Br
0.802 0.809 0.560 Br
0.685 0.297 0.563 Br
0.815 0.797 0.937 Br
0.198 0.191 0.440 Br
0.500 0.000 0.000 Pb
0.000 0.500 0.500 Pb
```

## Properties
Raw total energy in eV per atom: -3.39
Formation energy (no corrections) in eV/atom: -1.596

***

[2]
The following is a PBE-GGA calculation of KCaPmBr6 after structural relaxation, from Alexandria via LeMat-Bulk.

Structure (POSCAR):
```
KCaPmBr6
1.0
7.552 0.000 0.000
-3.776 6.541 0.000
0.000 0.000 14.305
Br Pm Ca K
12 2 2 2
Direct
0.370 0.367 0.365 Br
0.370 0.003 0.135 Br
0.630 0.997 0.865 Br
0.997 0.367 0.135 Br
0.367 0.997 0.635 Br
0.003 0.633 0.865 Br
0.633 0.003 0.365 Br
0.997 0.630 0.365 Br
0.633 0.630 0.135 Br
0.630 0.633 0.635 Br
0.003 0.370 0.635 Br
0.367 0.370 0.865 Br
0.667 0.333 0.250 Pm
0.333 0.667 0.750 Pm
0.333 0.667 0.250 Ca
0.667 0.333 0.750 Ca
0.000 0.000 0.000 K
0.000 0.000 0.500 K
```

## Properties
Raw total energy in eV per atom: -3.91
Formation energy (no corrections) in eV/atom: -1.926

***

[3]
The following is a PBE-GGA calculation of KCa2PuBr8 after structural relaxation, from Alexandria via LeMat-Bulk.

Structure (POSCAR):
```
KCa2PuBr8
1.0
7.073 -0.010 -0.004
0.039 6.860 -0.007
0.006 0.011 9.021
Br Pu K Ca
8 1 1 2
Direct
0.833 0.246 0.779 Br
0.670 0.734 0.000 Br
0.167 0.754 0.221 Br
0.362 0.275 0.500 Br
0.330 0.266 0.000 Br
0.833 0.246 0.221 Br
0.167 0.754 0.779 Br
0.638 0.725 0.500 Br
0.000 0.000 0.000 Pu
0.000 0.000 0.500 K
0.500 0.500 0.745 Ca
0.500 0.500 0.255 Ca
```

## Properties
Raw total energy in eV per atom: -4.52
Formation energy (no corrections) in eV/atom: -1.785